A geometry-optimized Ac2ZrTc2N6 structure. Source: Alexandria via LeMat-Bulk, functional PBE.

a b c (Å): 6.0909 6.0909 6.6656
angles (deg): 62.81 62.81 60.00
Fractional positions:
Ac  0.2126  0.2126  0.3620
Ac  0.7874  0.7874  0.6380
Tc  0.4346  0.4346  0.6962
Tc  0.5654  0.5654  0.3038
N  0.7676  0.2416  0.7492
N  0.2324  0.7584  0.2508
N  0.7584  0.7584  0.2508
N  0.7584  0.2324  0.2508
N  0.2416  0.2416  0.7492
N  0.2416  0.7676  0.7492
Zr  0.0000  0.0000  0.0000

## Properties
The total energy comes out at -0.636 Ry per atom. The value obtained for the energy relative to the elements, uncorrected is -67.3 kJ per mole of atoms. The space group is No. 166.